Density functional theory data (PBE) for an optimized crystal structure of La2DyIn.

Lattice parameters (Å, degrees): 7.9915 7.9915 7.9915 90.00 90.00 90.00
Sites, in units of the cell vectors:
La  0.2500  0.2500  0.2500
La  0.2500  0.2500  0.7500
La  0.2500  0.7500  0.2500
La  0.2500  0.7500  0.7500
La  0.7500  0.2500  0.2500
La  0.7500  0.2500  0.7500
La  0.7500  0.7500  0.2500
La  0.7500  0.7500  0.7500
Dy  0.0000  0.0000  0.0000
Dy  0.0000  0.5000  0.5000
Dy  0.5000  0.0000  0.5000
Dy  0.5000  0.5000  0.0000
In  0.0000  0.0000  0.5000
In  0.0000  0.5000  0.0000
In  0.5000  0.0000  0.0000
In  0.5000  0.5000  0.5000

Output
energy relative to the elements	-0.17	eV per atom
magnetization	0.00	μB/atom